No. 1
A plane-wave DFT calculation with PBE was carried out for crystalline PtN at its relaxed geometry. Values from VASP.

The structure in Quantum ESPRESSO input format:
```
&SYSTEM
  ibrav = 0, nat = 2, ntyp = 2
/
ATOMIC_SPECIES
Pt 195.08 Pt.upf
N 14.01 N.upf
CELL_PARAMETERS angstrom
0.0000 2.2439 2.2439
2.2439 0.0000 2.2439
2.2439 2.2439 0.0000
ATOMIC_POSITIONS crystal
Pt 0.0000 0.0000 0.0000
N 0.5000 0.5000 0.5000
```

Results
- E_form (uncorrected): 1.3650 eV/atom
- M_tot: 0.0 Bohr magnetons per cell
- Energy: -5.818 eV per atom


No. 2
A plane-wave DFT calculation with PBE was carried out for crystalline YSc2Tl2 at its relaxed geometry. Values from VASP.

The structure in Quantum ESPRESSO input format:
```
&SYSTEM
  ibrav = 0, nat = 5, ntyp = 3
/
ATOMIC_SPECIES
Y 88.91 Y.upf
Sc 44.96 Sc.upf
Tl 204.38 Tl.upf
CELL_PARAMETERS angstrom
2.6401 -4.0002 0.0000
2.6401 4.0002 0.0000
-0.0019 0.0000 6.5488
ATOMIC_POSITIONS crystal
Y 0.0000 0.0000 0.0000
Sc 0.1767 0.8233 0.5000
Sc 0.8233 0.1767 0.5000
Tl 0.4974 0.4974 0.2579
Tl 0.5026 0.5026 0.7421
```

Results
- M_tot: 1.3 Bohr magnetons per cell
- Energy: -4.724 eV per atom
- Formation energy from the elements: 48 meV per atom
- ΔE to the lowest computed polymorph: 0.3020 eV per atom


No. 3
A plane-wave DFT calculation with PBE was carried out for crystalline La5Ho6Th2 at its relaxed geometry. Values from VASP.

The structure in Quantum ESPRESSO input format:
```
&SYSTEM
  ibrav = 0, nat = 26, ntyp = 3
/
ATOMIC_SPECIES
La 138.91 La.upf
Ho 164.93 Ho.upf
Th 232.04 Th.upf
CELL_PARAMETERS angstrom
11.6314 0.0000 0.0000
0.0000 21.1427 0.0000
0.0000 0.0000 3.6132
ATOMIC_POSITIONS crystal
La 0.0000 0.0000 0.0000
La 0.0591 0.2957 0.0000
La 0.1915 0.5808 0.0000
La 0.3085 0.0808 0.0000
La 0.4409 0.7957 0.0000
La 0.5000 0.5000 0.0000
La 0.5591 0.2043 0.0000
La 0.6915 0.9192 0.0000
La 0.8085 0.4192 0.0000
La 0.9409 0.7043 0.0000
Ho 0.0591 0.1496 0.5000
Ho 0.0837 0.4389 0.5000
Ho 0.1878 0.8768 0.0000
Ho 0.3122 0.3768 0.0000
Ho 0.4163 0.9389 0.5000
Ho 0.4409 0.6496 0.5000
Ho 0.5591 0.3504 0.5000
Ho 0.5837 0.0611 0.5000
Ho 0.6878 0.6232 0.0000
Ho 0.8122 0.1232 0.0000
Ho 0.9163 0.5611 0.5000
Ho 0.9409 0.8504 0.5000
Th 0.1932 0.7372 0.5000
Th 0.3068 0.2372 0.5000
Th 0.6932 0.7628 0.5000
Th 0.8068 0.2628 0.5000
```

Results
- M_tot: 0.0 Bohr magnetons per cell
- Energy: -5.045 eV per atom
- Formation energy from the elements: 105 meV per atom


No. 4
A plane-wave DFT calculation with PBE was carried out for crystalline Sc2GaSi2 at its relaxed geometry. Values from VASP.

The structure in Quantum ESPRESSO input format:
```
&SYSTEM
  ibrav = 0, nat = 5, ntyp = 3
/
ATOMIC_SPECIES
Sc 44.96 Sc.upf
Ga 69.72 Ga.upf
Si 28.09 Si.upf
CELL_PARAMETERS angstrom
-1.7226 1.7226 8.0314
1.7226 -1.7226 8.0314
1.7226 1.7226 -8.0314
ATOMIC_POSITIONS crystal
Sc 0.1107 0.1107 0.0000
Sc 0.8893 0.8893 0.0000
Ga 0.5000 0.5000 0.0000
Si 0.2500 0.7500 0.5000
Si 0.7500 0.2500 0.5000
```

Results
- E_form (uncorrected): -0.4093 eV/atom
- M_tot: 0.0 Bohr magnetons per cell
- Energy: -5.716 eV per atom


No. 5
A plane-wave DFT calculation with PBE was carried out for crystalline Ca2SnS4 at its relaxed geometry. Values from VASP.

The structure in Quantum ESPRESSO input format:
```
&SYSTEM
  ibrav = 0, nat = 28, ntyp = 3
/
ATOMIC_SPECIES
Ca 40.08 Ca.upf
Sn 118.71 Sn.upf
S 32.06 S.upf
CELL_PARAMETERS angstrom
14.0630 0.0000 0.0000
0.0000 8.2524 0.0000
0.0000 0.0000 6.5927
ATOMIC_POSITIONS crystal
Ca 0.0000 0.0000 0.0000
Ca 0.0000 0.5000 0.0000
Ca 0.2282 0.2500 0.4925
Ca 0.2718 0.7500 0.9925
Ca 0.5000 0.0000 0.5000
Ca 0.5000 0.5000 0.5000
Ca 0.7282 0.2500 0.0075
Ca 0.7718 0.7500 0.5075
Sn 0.0929 0.7500 0.4160
Sn 0.4071 0.2500 0.9160
Sn 0.5929 0.7500 0.0840
Sn 0.9071 0.2500 0.5840
S 0.0643 0.2500 0.7395
S 0.0937 0.7500 0.7788
S 0.1688 0.5222 0.2486
S 0.1688 0.9778 0.2486
S 0.3312 0.0222 0.7486
S 0.3312 0.4778 0.7486
S 0.4063 0.2500 0.2788
S 0.4357 0.7500 0.2395
S 0.5643 0.2500 0.7605
S 0.5937 0.7500 0.7212
S 0.6688 0.5222 0.2514
S 0.6688 0.9778 0.2514
S 0.8312 0.0222 0.7514
S 0.8312 0.4778 0.7514
S 0.9063 0.2500 0.2212
S 0.9357 0.7500 0.2605
```

Results
- E_form (uncorrected): -1.3977 eV/atom
- M_tot: 0.0 Bohr magnetons per cell
- Energy: -4.900 eV per atom
- ΔE to the lowest computed polymorph: 0.0000 eV per atom


No. 6
A plane-wave DFT calculation with PBE was carried out for crystalline KAl3Au6 at its relaxed geometry. Values from VASP.

The structure in Quantum ESPRESSO input format:
```
&SYSTEM
  ibrav = 0, nat = 20, ntyp = 3
/
ATOMIC_SPECIES
K 39.10 K.upf
Al 26.98 Al.upf
Au 196.97 Au.upf
CELL_PARAMETERS angstrom
7.2146 0.0000 0.0000
0.0000 7.1445 0.0000
-4.6582 0.0000 7.6347
ATOMIC_POSITIONS crystal
K 0.0000 0.0000 0.0000
K 0.0000 0.5000 0.5000
Al 0.2511 0.1619 0.4231
Al 0.2511 0.3381 0.9231
Al 0.5000 0.0000 0.0000
Al 0.5000 0.5000 0.5000
Al 0.7489 0.6619 0.0769
Al 0.7489 0.8381 0.5769
Au 0.1327 0.0337 0.6907
Au 0.1327 0.4663 0.1907
Au 0.2658 0.6907 0.8933
Au 0.2658 0.8093 0.3933
Au 0.4572 0.1928 0.2365
Au 0.4572 0.3072 0.7365
Au 0.5428 0.6928 0.2635
Au 0.5428 0.8072 0.7635
Au 0.7342 0.1907 0.6067
Au 0.7342 0.3093 0.1067
Au 0.8673 0.5337 0.8093
Au 0.8673 0.9663 0.3093
```

Results
- M_tot: 0.0 Bohr magnetons per cell
- Energy: -3.468 eV per atom
- Formation energy from the elements: -269 meV per atom


No. 7
A plane-wave DFT calculation with PBE was carried out for crystalline La4Th3UN8 at its relaxed geometry. Values from VASP.

The structure in Quantum ESPRESSO input format:
```
&SYSTEM
  ibrav = 0, nat = 16, ntyp = 4
/
ATOMIC_SPECIES
La 138.91 La.upf
Th 232.04 Th.upf
U 238.03 U.upf
N 14.01 N.upf
CELL_PARAMETERS angstrom
3.6625 2.1146 6.0144
-3.6625 2.1146 6.0144
0.0000 -4.2291 6.0144
ATOMIC_POSITIONS crystal
La 0.0000 0.0000 0.0000
La 0.0000 0.5000 0.5000
La 0.5000 0.0000 0.5000
La 0.5000 0.5000 0.0000
Th 0.0000 0.0000 0.5000
Th 0.0000 0.5000 0.0000
Th 0.5000 0.0000 0.0000
U 0.5000 0.5000 0.5000
N 0.2415 0.2415 0.2415
N 0.2625 0.7242 0.7242
N 0.2758 0.2758 0.7375
N 0.2758 0.7375 0.2758
N 0.7242 0.2625 0.7242
N 0.7242 0.7242 0.2625
N 0.7375 0.2758 0.2758
N 0.7585 0.7585 0.7585
```

Results
- E_form (uncorrected): -1.4808 eV/atom
- M_tot: 1.1 Bohr magnetons per cell
- Energy: -8.972 eV per atom


No. 8
A plane-wave DFT calculation with PBE was carried out for crystalline Cs2HfF7 at its relaxed geometry. Values from VASP.

The structure in Quantum ESPRESSO input format:
```
&SYSTEM
  ibrav = 0, nat = 10, ntyp = 3
/
ATOMIC_SPECIES
Cs 132.91 Cs.upf
Hf 178.49 Hf.upf
F 19.00 F.upf
CELL_PARAMETERS angstrom
0.0000 4.7609 4.7609
4.7609 0.0000 4.7609
4.7609 4.7609 0.0000
ATOMIC_POSITIONS crystal
Cs 0.2500 0.2500 0.2500
Cs 0.7500 0.7500 0.7500
Hf 0.0000 0.0000 0.0000
F 0.2105 0.2105 0.7895
F 0.2105 0.7895 0.2105
F 0.2105 0.7895 0.7895
F 0.5000 0.5000 0.5000
F 0.7895 0.2105 0.2105
F 0.7895 0.2105 0.7895
F 0.7895 0.7895 0.2105
```

Results
- E_form (uncorrected): -3.0131 eV/atom
- M_tot: 1.0 Bohr magnetons per cell
- Energy: -5.489 eV per atom


No. 9
A plane-wave DFT calculation with PBE was carried out for crystalline Eu3Pd at its relaxed geometry. Values from VASP.

The structure in Quantum ESPRESSO input format:
```
&SYSTEM
  ibrav = 0, nat = 4, ntyp = 2
/
ATOMIC_SPECIES
Eu 151.96 Eu.upf
Pd 106.42 Pd.upf
CELL_PARAMETERS angstrom
-1.9439 2.8724 5.8239
1.9439 -2.8724 5.8239
1.9439 2.8724 -5.8239
ATOMIC_POSITIONS crystal
Eu 0.0000 0.0000 0.0000
Eu 0.3066 0.8066 0.5000
Eu 0.6934 0.1934 0.5000
Pd 0.5000 0.5000 0.0000
```

Results
- M_tot: 22.3 Bohr magnetons per cell
- Energy: -9.328 eV per atom
- Formation energy from the elements: -324 meV per atom
- ΔE to the lowest computed polymorph: 0.0000 eV per atom


No. 10
A plane-wave DFT calculation with PBE was carried out for crystalline OsRu2Br at its relaxed geometry. Values from VASP.

The structure in Quantum ESPRESSO input format:
```
&SYSTEM
  ibrav = 0, nat = 4, ntyp = 3
/
ATOMIC_SPECIES
Os 190.23 Os.upf
Ru 101.07 Ru.upf
Br 79.90 Br.upf
CELL_PARAMETERS angstrom
2.8795 0.0000 0.0000
0.0000 3.9662 0.0000
-1.2523 0.0000 5.3896
ATOMIC_POSITIONS crystal
Os 0.0000 0.0000 0.0000
Ru 0.3850 0.5000 0.7641
Ru 0.6150 0.5000 0.2359
Br 0.0000 0.0000 0.5000
```

Results
- E_form (uncorrected): 0.8697 eV/atom
- M_tot: 0.0 Bohr magnetons per cell
- Energy: -6.994 eV per atom
- ΔE to the lowest computed polymorph: 0.2445 eV per atom


No. 11
A plane-wave DFT calculation with PBE was carried out for crystalline ScTaTe2 at its relaxed geometry. Values from VASP.

The structure in Quantum ESPRESSO input format:
```
&SYSTEM
  ibrav = 0, nat = 4, ntyp = 3
/
ATOMIC_SPECIES
Sc 44.96 Sc.upf
Ta 180.95 Ta.upf
Te 127.60 Te.upf
CELL_PARAMETERS angstrom
-1.7532 2.4694 5.3029
1.7532 -2.4694 5.3029
1.7532 2.4694 -5.3029
ATOMIC_POSITIONS crystal
Sc 0.0000 0.0000 0.0000
Ta 0.2772 0.7772 0.5000
Te 0.4857 0.4857 0.0000
Te 0.7714 0.2714 0.5000
```

Results
- E_form (uncorrected): -0.1771 eV/atom
- M_tot: 0.0 Bohr magnetons per cell
- Energy: -6.294 eV per atom
- ΔE to the lowest computed polymorph: 0.3629 eV per atom


No. 12
A plane-wave DFT calculation with PBE was carried out for crystalline Pb2S2N at its relaxed geometry. Values from VASP.

The structure in Quantum ESPRESSO input format:
```
&SYSTEM
  ibrav = 0, nat = 5, ntyp = 3
/
ATOMIC_SPECIES
Pb 207.20 Pb.upf
S 32.06 S.upf
N 14.01 N.upf
CELL_PARAMETERS angstrom
-1.7199 1.7199 8.7111
1.7199 -1.7199 8.7111
1.7199 1.7199 -8.7111
ATOMIC_POSITIONS crystal
Pb 0.0866 0.0866 0.0000
Pb 0.9134 0.9134 0.0000
S 0.2500 0.7500 0.5000
S 0.7500 0.2500 0.5000
N 0.5000 0.5000 0.0000
```

Results
- E_form (uncorrected): 0.6262 eV/atom
- M_tot: 0.0 Bohr magnetons per cell
- Energy: -4.173 eV per atom
- ΔE to the lowest computed polymorph: 0.0779 eV per atom